No. 1
AlVP2Cl | Alexandria via LeMat-Bulk | PBE | relaxed; polymorph energy (0 for the lowest one) = 0.564 eV per atom; raw total energy = -0.16250 hartree per atom
1.0
4.634 0.000 0.000
0.000 4.634 0.000
0.000 0.000 4.588
P Cl Al V
2 1 1 1
Direct
0.500 0.000 0.000 P
0.000 0.500 0.000 P
0.000 0.000 0.500 Cl
0.000 0.000 0.000 Al
0.500 0.500 0.500 V

---

No. 2
YIn3Ga | Alexandria via LeMat-Bulk | PBE | relaxed; DFT formation energy = 0.182 eV per atom; polymorph energy (0 for the lowest one) = 0.000 eV per atom; raw total energy = -0.12346 hartree per atom
1.0
5.247 0.000 0.000
0.000 5.247 0.000
0.000 0.000 5.247
In Y Ga
3 1 1
Direct
0.000 0.500 0.000 In
0.000 0.000 0.500 In
0.500 0.000 0.000 In
0.500 0.500 0.500 Y
0.000 0.000 0.000 Ga

---

No. 3
Hg2OsSe | Alexandria via LeMat-Bulk | PBE | relaxed; raw total energy = -0.12715 hartree per atom
1.0
3.083 0.000 0.000
0.000 4.591 0.010
0.000 2.291 6.482
Se Hg Os
1 2 1
Direct
0.500 0.578 0.718 Se
0.500 0.263 0.350 Hg
0.000 0.936 0.003 Hg
0.000 0.724 0.428 Os

---

Going through the records in order, we get ρ values of 2.96; 5.78; 12.14 g/cm3.
Going through the records in order, we get total magnetic moment values of 0.010; 0.000; 0.000 μB per atom.